Entry from the Alexandria database: BaNiS2 at its PBEsol-relaxed geometry (meta-GGA SCAN).

Cell and atoms, written as POSCAR:
```
BaNiS2
1.0
4.351 0.000 0.000
0.000 4.351 0.000
0.000 0.000 8.792
Ba Ni S
2 2 4
Cartesian
1.088 1.088 1.757
3.264 3.264 7.034
1.088 1.088 5.158
3.264 3.264 3.634
1.088 1.088 7.422
1.088 3.264 4.396
3.264 1.088 4.396
3.264 3.264 1.370
```

Calculated values
E_tot (eV per cell): -160.804
ρ (Mg/m³): 5.19
N(E_F) (states/eV/cell): 2.12
E_form (uncorrected) (meV/atom): -1356

=====

Entry from the Alexandria database: ScNi2Os at its PBEsol-relaxed geometry (meta-GGA SCAN).

Cell and atoms, written as POSCAR:
```
ScNi2Os
1.0
5.983 0.000 0.000
0.000 5.983 0.000
0.000 0.000 5.983
Sc Ni Os
4 8 4
Cartesian
0.000 0.000 0.000
0.000 2.991 2.991
2.991 0.000 2.991
2.991 2.991 0.000
1.496 1.496 1.496
1.496 1.496 4.487
1.496 4.487 1.496
1.496 4.487 4.487
4.487 1.496 1.496
4.487 1.496 4.487
4.487 4.487 1.496
4.487 4.487 4.487
0.000 0.000 2.991
0.000 2.991 0.000
2.991 0.000 0.000
2.991 2.991 2.991
```

Calculated values
E_tot (eV per cell): -474.686
ρ (Mg/m³): 10.94
Relative energy among the computed polymorphs (eV/atom): 0.113
N(E_F) (states/eV/cell): 19.13
ΔE_f (eV per formula unit): -0.21

=====

Entry from the Alexandria database: TlV3O8 at its PBEsol-relaxed geometry (meta-GGA SCAN).

Cell and atoms, written as POSCAR:
```
TlV3O8
1.0
4.998 0.000 0.000
0.000 8.422 0.000
-1.173 0.000 7.699
Tl V O
2 6 16
Cartesian
-0.430 2.106 3.402
4.254 6.317 4.297
-0.721 2.106 7.144
2.019 4.674 1.421
2.019 7.960 1.421
1.805 0.463 6.279
1.805 3.749 6.279
4.546 6.317 0.555
-0.522 6.317 7.088
0.351 5.068 1.766
0.351 7.566 1.766
0.420 0.737 7.663
0.420 3.474 7.663
1.156 2.106 5.731
1.293 4.742 5.122
1.293 7.892 5.122
2.532 0.531 2.577
2.532 3.680 2.577
2.669 6.317 1.968
3.404 4.948 0.036
3.404 7.685 0.036
3.474 0.857 5.933
3.474 3.354 5.933
4.347 2.106 0.611
```

Calculated values
E_tot (eV per cell): -405.505
ρ (Mg/m³): 4.97
N(E_F) (states/eV/cell): 0.00
E_form (uncorrected) (meV/atom): -2340

=====

Entry from the Alexandria database: BaNiC2 at its PBEsol-relaxed geometry (meta-GGA SCAN).

Cell and atoms, written as POSCAR:
```
BaNiC2
1.0
4.593 0.000 0.000
0.000 4.593 0.000
0.000 0.000 11.644
Ba Ni C
4 4 8
Cartesian
0.000 1.148 4.366
0.000 3.445 7.277
2.296 1.148 1.455
2.296 3.445 10.188
0.000 1.148 10.188
0.000 3.445 1.455
2.296 1.148 7.277
2.296 3.445 4.366
0.000 0.000 0.000
0.000 2.296 0.000
1.148 1.148 8.733
1.148 3.445 2.911
2.296 0.000 5.822
2.296 2.296 5.822
3.445 1.148 8.733
3.445 3.445 2.911
```

Calculated values
E_tot (eV per cell): -291.015
ρ (Mg/m³): 5.95
N(E_F) (states/eV/cell): 9.82
ΔE_f (eV per formula unit): 3.17